DFT (PBE+U) results for a relaxed Ni2IO crystal.

a = 6.753 Å, b = 6.753 Å, c = 6.753 Å
α = 135.21°, β = 135.21°, γ = 65.21°
Sites, in units of the cell vectors:
Ni 0.000 0.000 0.000
Ni 0.000 0.000 0.500
Ni 0.000 0.500 0.000
Ni 0.500 0.000 0.500
I 0.375 0.625 0.750
I 0.625 0.375 0.250
O 0.125 0.875 0.250
O 0.875 0.125 0.750

Final energy ... -3.13 eV per atom
M_tot ... 6.0 Bohr magnetons per cell